Co3Ir | PBE-GGA | relaxed

```
Co3Ir
1.0
8.529 0.000 0.000
0.000 2.593 0.000
-0.851 0.000 4.342
Co Ir
6 2
direct
0.000 0.000 0.000 Co
0.247 0.500 0.239 Co
0.253 0.000 0.761 Co
0.500 0.500 0.000 Co
0.747 0.000 0.239 Co
0.753 0.500 0.761 Co
0.000 0.500 0.500 Ir
0.500 0.000 0.500 Ir
```

Computed properties:
energy of formation = 0.050 eV/atom
space-group type = C2/m (12)
total moment = 10.31 μB per cell
ρ = 12.761 g/cm³